[1]
Computed, not measured: a crystal of TbLuIn2 relaxed with PBEsol at the SCAN level of DFT.

As for the density: 9.48 Mg/m³. The calculation puts the formation energy at -581 meV/atom. The calculation puts the total moment at 0.00 μB per cell. The electronic total energy is -684.8 eV per cell. For the density of states at the Fermi level, the calculation gives 0.50 states/eV per atom.

It has space group Fm-3m (No. 225), with a = 7.335 Å, b = 7.335 Å, c = 7.335 Å, α = 90.00°, β = 90.00° and γ = 90.00°. The asymmetric unit holds Tb at (0.000, 0.000, 0.000), Lu at (0.000, 0.000, 0.500) and In at (0.250, 0.250, 0.250).



[2]
Computed, not measured: a crystal of MnIrS2Cl relaxed with PBEsol at the SCAN level of DFT.

For the uncorrected formation energy, the calculation gives 20 kJ/mol of atoms. As for the density: 5.73 Mg/m³. The calculation puts the total moment at 4.12 μB per cell. The electronic total energy is -115.6 eV per cell. For the density of states at the Fermi level, the calculation gives 0.57 states/eV per atom.

It has space group P4/mmm (No. 123), with a = 4.596 Å, b = 4.596 Å, c = 4.762 Å, α = 90.00°, β = 90.00° and γ = 90.00°. The asymmetric unit holds Mn at (0.000, 0.000, 0.000), Ir at (0.500, 0.500, 0.500), S at (0.000, 0.500, 0.500) and Cl at (0.500, 0.500, 0.000).



[3]
Computed, not measured: a crystal of BaTlPt3 relaxed with PBEsol at the SCAN level of DFT.

As for the density: 11.76 Mg/m³. The calculation puts the formation energy at 269 meV/atom. The calculation puts the total moment at 0.00 μB per cell. The electronic total energy is -321.1 eV per cell. For the density of states at the Fermi level, the calculation gives 0.86 states/eV per atom.

It has space group Pm-3m (No. 221), with a = 5.078 Å, b = 5.078 Å, c = 5.078 Å, α = 90.00°, β = 90.00° and γ = 90.00°. The asymmetric unit holds Ba at (0.000, 0.000, 0.000), Tl at (0.500, 0.500, 0.500) and Pt at (0.000, 0.500, 0.500).



[4]
Computed, not measured: a crystal of Ca4Al6WO16 relaxed with PBEsol at the SCAN level of DFT.

For the uncorrected formation energy, the calculation gives -310 kJ/mol of atoms. As for the density: 3.12 Mg/m³. For the energy above the most stable polymorph in this dataset, the calculation gives 8 meV per atom. The calculation puts the total moment at 0.00 μB per cell. The electronic total energy is -682.8 eV per cell. For the density of states at the Fermi level, the calculation gives 0.00 states/eV per atom.

It has space group I-4 (No. 82), with a = 9.256 Å, b = 9.256 Å, c = 9.482 Å, α = 90.00°, β = 90.00° and γ = 90.00°. The asymmetric unit holds Ca at (0.213, 0.250, 0.234), Al at (0.000, 0.500, 0.250), Al at (0.000, 0.500, 0.750), Al at (0.016, 0.252, 0.506), W at (0.000, 0.000, 0.000), O at (0.017, 0.658, 0.347), O at (0.024, 0.156, 0.109), O at (0.070, 0.350, 0.656) and O at (0.149, 0.833, 0.544).



[5]
Computed, not measured: a crystal of Li2ZrPb relaxed with PBEsol at the SCAN level of DFT.

As for the density: 6.16 Mg/m³. The calculation puts the formation energy at -121 meV/atom. The calculation puts the total moment at 2.62 μB per cell. The electronic total energy is -223.5 eV per cell. For the density of states at the Fermi level, the calculation gives 0.62 states/eV per atom.

It has space group I4/mmm (No. 139), with a = 4.168 Å, b = 4.168 Å, c = 9.698 Å, α = 90.00°, β = 90.00° and γ = 90.00°. The asymmetric unit holds Li at (0.000, 0.500, 0.250), Zr at (0.000, 0.000, 0.000) and Pb at (0.000, 0.000, 0.500).



[6]
Computed, not measured: a crystal of InH8C4NO10 relaxed with PBEsol at the SCAN level of DFT.

As for the density: 2.15 Mg/m³. The calculation puts the total moment at 0.00 μB per cell. The electronic total energy is -598.1 eV per cell. For the density of states at the Fermi level, the calculation gives 0.00 states/eV per atom.

It has space group P6_222 (No. 180), with a = 8.9434 Å, b = 8.9434 Å, c = 11.5358 Å, α = 90.00°, β = 90.00° and γ = 120.00°. The asymmetric unit holds In at (0.0000, 0.5000, 0.1667), H at (0.0251, 0.1047, 0.7802), H at (0.1015, 0.3563, 0.6797), C at (0.2131, 0.4262, 0.0000), C at (0.3127, 0.6255, 0.0000), N at (0.0000, 0.0000, 0.1667), O at (0.0000, 0.2402, 0.6667), O at (0.0795, 0.3493, 0.0618) and O at (0.2460, 0.5478, 0.2767).



[7]
Computed, not measured: a crystal of Ti2RePd relaxed with PBEsol at the SCAN level of DFT.

As for the density: 10.88 Mg/m³. The calculation puts the formation energy at -609 meV/atom. The calculation puts the total moment at 0.01 μB per cell. The electronic total energy is -553.5 eV per cell. For the density of states at the Fermi level, the calculation gives 0.87 states/eV per atom.

It has space group Fm-3m (No. 225), with a = 6.188 Å, b = 6.188 Å, c = 6.188 Å, α = 90.00°, β = 90.00° and γ = 90.00°. The asymmetric unit holds Ti at (0.250, 0.250, 0.250), Re at (0.000, 0.000, 0.000) and Pd at (0.000, 0.000, 0.500).



[8]
Computed, not measured: a crystal of FeNi2 relaxed with PBEsol at the SCAN level of DFT.

As for the density: 9.04 Mg/m³. The calculation puts the formation energy at -59 meV/atom. The calculation puts the total moment at 17.04 μB per cell. The electronic total energy is -202.6 eV per cell. For the density of states at the Fermi level, the calculation gives 0.86 states/eV per atom.

It has space group Cm (No. 8), with a = 9.138 Å, b = 2.464 Å, c = 5.856 Å, α = 90.00°, β = 105.28° and γ = 90.00°. The asymmetric unit holds Fe at (0.000, 0.000, 0.000), Fe at (0.170, 0.500, 0.337), Ni at (0.056, 0.000, 0.610), Ni at (0.222, 0.500, 0.945), Ni at (0.335, 0.000, 0.670) and Ni at (0.391, 0.000, 0.279).



[9]
Computed, not measured: a crystal of In5Pb relaxed with PBEsol at the SCAN level of DFT.

As for the density: 8.29 Mg/m³. The calculation puts the formation energy at 64 meV/atom. The calculation puts the total moment at 0.00 μB per cell. The electronic total energy is -484.7 eV per cell. For the density of states at the Fermi level, the calculation gives 0.41 states/eV per atom.

It has space group Cm (No. 8), with a = 13.612 Å, b = 3.407 Å, c = 6.965 Å, α = 90.00°, β = 104.34° and γ = 90.00°. The asymmetric unit holds In at (0.000, 0.000, 0.000), In at (0.005, 0.000, 0.485), In at (0.162, 0.500, 0.830), In at (0.167, 0.500, 0.316), In at (0.333, 0.000, 0.157) and Pb at (0.334, 0.000, 0.658).



[10]
Computed, not measured: a crystal of LaTl3 relaxed with PBEsol at the SCAN level of DFT.

As for the density: 11.11 Mg/m³. The calculation puts the formation energy at -295 meV/atom. The calculation puts the total moment at 0.00 μB per cell. The electronic total energy is -261.4 eV per cell. For the density of states at the Fermi level, the calculation gives 0.73 states/eV per atom.

It has space group P4/mmm (No. 123), with a = 3.911 Å, b = 3.911 Å, c = 7.347 Å, α = 90.00°, β = 90.00° and γ = 90.00°. The asymmetric unit holds La at (0.000, 0.000, 0.000), Tl at (0.000, 0.000, 0.500) and Tl at (0.500, 0.500, 0.268).



[11]
Computed, not measured: a crystal of SrAlBr relaxed with PBEsol at the SCAN level of DFT.

For the uncorrected formation energy, the calculation gives -39 kJ/mol of atoms. As for the density: 3.80 Mg/m³. The calculation puts the total moment at 0.00 μB per cell. The electronic total energy is -50.7 eV per cell. For the density of states at the Fermi level, the calculation gives 0.63 states/eV per atom.

It has space group P3m1 (No. 156), with a = 5.1372 Å, b = 5.1372 Å, c = 3.7234 Å, α = 90.00°, β = 90.00° and γ = 120.00°. The asymmetric unit holds Sr at (0.0000, 0.0000, 0.0000), Al at (0.3333, 0.6667, 0.5000) and Br at (0.6667, 0.3333, 0.5041).



[12]
Computed, not measured: a crystal of CsBa2SrSn relaxed with PBEsol at the SCAN level of DFT.

As for the density: 4.39 Mg/m³. The calculation puts the formation energy at 685 meV/atom. The calculation puts the total moment at 0.08 μB per cell. The electronic total energy is -171.7 eV per cell. For the density of states at the Fermi level, the calculation gives 1.03 states/eV per atom.

It has space group P4/mmm (No. 123), with a = 6.191 Å, b = 6.191 Å, c = 6.059 Å, α = 90.00°, β = 90.00° and γ = 90.00°. The asymmetric unit holds Cs at (0.000, 0.000, 0.000), Ba at (0.000, 0.500, 0.000), Sr at (0.000, 0.000, 0.500) and Sn at (0.500, 0.500, 0.500).